First-principles (PBE) data for a relaxed Li3ScPt4 crystal, as listed in the Alexandria database.

Lattice parameters (Å, degrees): 4.0701 4.0701 7.5952 105.51 105.51 90.03
With the nearest neighbours (Å) after each atom.
Positions (direct):
Li1 0.7509 0.2509 0.5020  8 Pt 2.64-2.66, 4 Li 2.88
Li2 0.2491 0.7491 0.4980  8 Pt 2.64-2.66, 4 Li 2.88
Li3 0.0000 0.5000 0.0000  8 Pt 2.73, 4 Sc 2.88
Pt1 0.8704 0.8703 0.7409  6 Li 2.64-2.73, 2 Sc 2.73, 4 Pt 2.88
Pt2 0.3703 0.3703 0.7409  6 Li 2.64-2.73, 2 Sc 2.73, 4 Pt 2.88
Pt3 0.1296 0.1297 0.2591  6 Li 2.64-2.73, 2 Sc 2.73, 4 Pt 2.88
Pt4 0.6297 0.6297 0.2591  6 Li 2.64-2.73, 2 Sc 2.73, 4 Pt 2.88
Sc1 0.5000 0.0000 0.0000  8 Pt 2.73, 4 Li 2.88

DFT formation energy	-0.79	eV per atom
E	-0.1955	hartree per atom

***

First-principles (PBE) data for a relaxed LiSc4Pt5 crystal, as listed in the Alexandria database.

Lattice parameters (Å, degrees): 3.2730 3.2730 15.9244 90.00 90.00 90.00
With the nearest neighbours (Å) after each atom.
Positions (direct):
Pt1 0.5000 0.5000 0.2897  8 Sc 2.85-2.88
Pt2 0.5000 0.5000 0.5000  8 Sc 2.87
Pt3 0.5000 0.5000 0.9119  4 Li 2.71, 4 Sc 2.75, 1 Pt 2.81
Pt4 0.5000 0.5000 0.7103  8 Sc 2.85-2.88
Pt5 0.5000 0.5000 0.0881  4 Li 2.71, 4 Sc 2.75, 1 Pt 2.81
Sc1 0.0000 0.0000 0.6063  8 Pt 2.85-2.87
Sc2 0.0000 0.0000 0.3937  8 Pt 2.85-2.87
Sc3 0.0000 0.0000 0.8183  8 Pt 2.75-2.88, 1 Li 2.89
Sc4 0.0000 0.0000 0.1817  8 Pt 2.75-2.88, 1 Li 2.89
Li1 0.0000 0.0000 0.0000  8 Pt 2.71, 2 Sc 2.89

DFT formation energy	-1.16	eV per atom
E	-0.2537	hartree per atom

***

First-principles (PBE) data for a relaxed LiSc3Pt crystal, as listed in the Alexandria database.

Lattice parameters (Å, degrees): 5.1551 5.1551 5.1551 90.00 90.00 90.00
With the nearest neighbours (Å) after each atom.
Positions (direct):
Sc1 0.0000 0.5000 0.0000  2 Pt 2.58
Sc2 0.5000 0.0000 0.0000  2 Pt 2.58
Sc3 0.0000 0.0000 0.5000  2 Pt 2.58
Li1 0.5000 0.5000 0.5000  12 Sc 3.65
Pt1 0.0000 0.0000 0.0000  6 Sc 2.58

polymorph energy (0 for the lowest one)	0.00	eV per formula unit
DFT formation energy	-0.22	eV per atom
E	-0.2062	hartree per atom

***

First-principles (PBE) data for a relaxed Li3Sc2Pt4 crystal, as listed in the Alexandria database.

Lattice parameters (Å, degrees): 4.4022 4.4157 8.4593 89.68 89.96 60.12
With the nearest neighbours (Å) after each atom.
Positions (direct):
Pt1 0.9999 0.0006 0.6601  4 Li 2.67-2.88, 1 Pt 2.71, 3 Sc 2.76
Pt2 0.6664 0.6673 0.8919  4 Sc 2.70-2.73, 4 Li 2.70-2.77
Pt3 0.0001 0.9994 0.3399  4 Li 2.67-2.88, 1 Pt 2.71, 3 Sc 2.76
Pt4 0.3336 0.3327 0.1081  4 Sc 2.70-2.73, 4 Li 2.70-2.77
Li1 0.0000 0.0000 0.0000  8 Pt 2.70-2.88
Li2 0.3339 0.3317 0.4358  4 Pt 2.67-2.77, 3 Li 2.76-2.78, 1 Sc 2.95
Li3 0.6661 0.6683 0.5642  4 Pt 2.67-2.77, 3 Li 2.76-2.78, 1 Sc 2.95
Sc1 0.6669 0.6661 0.2150  7 Pt 2.70-2.76, 1 Li 2.95
Sc2 0.3331 0.3339 0.7850  7 Pt 2.70-2.76, 1 Li 2.95

DFT formation energy	-0.86	eV per atom
E	-0.2056	hartree per atom

***

First-principles (PBE) data for a relaxed LiSc4Pt3 crystal, as listed in the Alexandria database.

Lattice parameters (Å, degrees): 4.7093 4.7093 7.3198 108.74 108.76 90.00
With the nearest neighbours (Å) after each atom.
Positions (direct):
Sc1 0.1257 0.1257 0.2514  6 Pt 2.74-2.99, 2 Li 2.87
Sc2 0.3743 0.3744 0.7486  6 Pt 2.74-2.98, 2 Li 2.87
Sc3 0.6257 0.6256 0.2514  6 Pt 2.74-2.98, 2 Li 2.87
Sc4 0.8743 0.8743 0.7486  6 Pt 2.74-2.99, 2 Li 2.87
Pt1 0.0000 0.5000 0.0000  8 Sc 2.87
Pt2 0.2664 0.7664 0.5327  8 Sc 2.74-2.99, 1 Li 3.05
Pt3 0.7336 0.2336 0.4673  8 Sc 2.74-2.99, 1 Li 3.05
Li1 0.5000 0.0000 0.0000  8 Sc 2.87, 2 Pt 3.05

DFT formation energy	-1.02	eV per atom
E	-0.2458	hartree per atom

***

First-principles (PBE) data for a relaxed LiScSiPt crystal, as listed in the Alexandria database.

Lattice parameters (Å, degrees): 4.3879 4.3879 4.3879 60.00 60.00 60.00
With the nearest neighbours (Å) after each atom.
Positions (direct):
Sc1 0.7500 0.7500 0.7500  4 Pt 2.69, 4 Li 2.69
Pt1 0.0000 0.0000 0.0000  4 Sc 2.69, 4 Si 2.69
Si1 0.2500 0.2500 0.2500  4 Pt 2.69, 4 Li 2.69
Li1 0.5000 0.5000 0.5000  4 Si 2.69, 4 Sc 2.69

E_form (uncorrected)	-353	kJ/mol of formula units
E	-0.2147	hartree per atom

***

First-principles (PBE) data for a relaxed LiSmScPt2 crystal, as listed in the Alexandria database.

Lattice parameters (Å, degrees): 4.0096 4.0096 6.9015 106.89 106.89 90.00
With the nearest neighbours (Å) after each atom.
Positions (direct):
Pt1 0.6089 0.6089 0.2178  2 Li 2.68, 2 Sc 2.68, 1 Pt 2.74
Pt2 0.3911 0.3911 0.7822  2 Li 2.68, 2 Sc 2.68, 1 Pt 2.74
Sc1 0.7500 0.2500 0.5000  4 Pt 2.68, 4 Li 2.84
Sm1 0.0000 0.0000 0.0000  8 Pt 3.15
Li1 0.2500 0.7500 0.5000  4 Pt 2.68, 4 Sc 2.84

DFT formation energy	-0.93	eV per atom
E	-0.2182	hartree per atom

***

First-principles (PBE) data for a relaxed LiSmScPt crystal, as listed in the Alexandria database.

Lattice parameters (Å, degrees): 4.8947 4.8947 4.8947 60.00 60.00 60.00
With the nearest neighbours (Å) after each atom.
Positions (direct):
Sc1 0.7500 0.7500 0.7500  4 Li 3.00, 4 Pt 3.00
Li1 0.0000 0.0000 0.0000  4 Sm 3.00, 4 Sc 3.00
Sm1 0.2500 0.2500 0.2500  4 Pt 3.00, 4 Li 3.00
Pt1 0.5000 0.5000 0.5000  4 Sc 3.00, 4 Sm 3.00

DFT formation energy	-0.61	eV per atom
E	-0.1971	hartree per atom

***

First-principles (PBE) data for a relaxed LiScSnPt crystal, as listed in the Alexandria database.

Lattice parameters (Å, degrees): 4.6078 4.6078 4.6078 60.00 60.00 60.00
With the nearest neighbours (Å) after each atom.
Positions (direct):
Sn1 0.5000 0.5000 0.5000  4 Pt 2.82, 4 Li 2.82
Li1 0.2500 0.2500 0.2500  4 Sn 2.82, 4 Sc 2.82
Pt1 0.7500 0.7500 0.7500  4 Sn 2.82, 4 Sc 2.82
Sc1 0.0000 0.0000 0.0000  4 Li 2.82, 4 Pt 2.82

DFT formation energy	-0.93	eV per atom
E	-0.2022	hartree per atom

***

First-principles (PBE) data for a relaxed LiTbSc2Pt4 crystal, as listed in the Alexandria database.

Lattice parameters (Å, degrees): 4.5739 4.5739 8.5014 74.39 74.39 60.00
With the nearest neighbours (Å) after each atom.
Positions (direct):
Pt1 0.1249 0.1249 0.6252  4 Sc 2.74, 3 Li 2.83, 1 Tb 3.03
Pt2 0.6081 0.6081 0.1758  1 Li 2.62, 3 Sc 2.79
Pt3 0.3919 0.3919 0.8242  1 Li 2.62, 3 Sc 2.79
Pt4 0.8751 0.8751 0.3748  4 Sc 2.74, 3 Li 2.83, 1 Tb 3.03
Sc1 0.2379 0.2379 0.2864  7 Pt 2.74-2.79
Sc2 0.7621 0.7621 0.7136  7 Pt 2.74-2.79
Tb1 0.0000 0.0000 0.0000  8 Pt 3.00-3.03
Li1 0.5000 0.5000 0.5000  8 Pt 2.62-2.83

DFT formation energy	-1.08	eV per atom
E	-0.2389	hartree per atom

***

First-principles (PBE) data for a relaxed LiTmSc2Pt4 crystal, as listed in the Alexandria database.

Lattice parameters (Å, degrees): 4.6374 4.6374 8.0835 73.33 73.33 60.00
With the nearest neighbours (Å) after each atom.
Positions (direct):
Pt1 0.1241 0.1241 0.6278  4 Sc 2.72-2.79, 1 Tm 2.84, 3 Li 2.85
Pt2 0.8759 0.8759 0.3722  4 Sc 2.72-2.79, 1 Tm 2.84, 3 Li 2.85
Pt3 0.3787 0.3787 0.8638  1 Li 2.78, 4 Sc 2.87-3.11, 3 Tm 2.87
Pt4 0.6213 0.6213 0.1362  1 Li 2.78, 4 Sc 2.87-3.11, 3 Tm 2.87
Li1 0.5000 0.5000 0.5000  8 Pt 2.78-2.85
Sc1 0.7571 0.7571 0.7287  7 Pt 2.72-2.87
Sc2 0.2429 0.2429 0.2713  7 Pt 2.72-2.87
Tm1 0.0000 0.0000 0.0000  8 Pt 2.84-2.87

DFT formation energy	-1.10	eV per atom
E	-0.2390	hartree per atom

***

First-principles (PBE) data for a relaxed LiPt2Se crystal, as listed in the Alexandria database.

Lattice parameters (Å, degrees): 4.0121 2.8340 5.7047 75.78 90.00 90.00
With the nearest neighbours (Å) after each atom.
Positions (direct):
Pt1 0.0000 0.0755 0.9805  1 Se 2.52, 4 Li 2.76-2.77
Pt2 0.5000 0.4391 0.2429  2 Se 2.54, 1 Li 2.72, 4 Pt 2.83-2.84
Li1 0.5000 0.6869 0.7513  5 Pt 2.72-2.77, 4 Se 2.76, 2 Li 2.83
Se1 0.0000 0.2985 0.5252  3 Pt 2.52-2.54, 4 Li 2.76

E_form (uncorrected)	-126	kJ/mol of formula units
E	-0.1726	hartree per atom

***

First-principles (PBE) data for a relaxed LiPt2Se crystal, as listed in the Alexandria database.

Lattice parameters (Å, degrees): 5.3361 5.3361 4.5897 90.95 90.95 30.09
With the nearest neighbours (Å) after each atom.
Positions (direct):
Li1 0.2500 0.2500 0.2500  4 Se 2.68, 2 Li 2.77, 4 Pt 2.95
Pt1 0.5236 0.5236 0.4961  1 Se 2.59, 6 Pt 2.69-2.77
Pt2 0.9764 0.9764 0.0039  1 Se 2.59, 6 Pt 2.69-2.77
Se1 0.7500 0.7500 0.7500  2 Pt 2.59, 4 Li 2.68, 2 Se 2.77

E_form (uncorrected)	-119	kJ/mol of formula units
E	-0.1719	hartree per atom

***

First-principles (PBE) data for a relaxed LiPtSe crystal, as listed in the Alexandria database.

Lattice parameters (Å, degrees): 4.2662 4.2662 3.3033 90.00 90.00 120.00
With the nearest neighbours (Å) after each atom.
Positions (direct):
Se1 0.3333 0.6667 0.5003  3 Pt 2.46
Li1 0.0000 0.0000 0.9994  6 Pt 2.96-2.97, 6 Se 2.96-2.97, 2 Li 3.30
Pt1 0.6667 0.3333 0.5003  3 Se 2.46

polymorph energy (0 for the lowest one)	0.02	eV per formula unit
E_form (uncorrected)	-142	kJ/mol of formula units
E	-0.1581	hartree per atom

***

First-principles (PBE) data for a relaxed LiPt3Se crystal, as listed in the Alexandria database.

Lattice parameters (Å, degrees): 4.7178 4.7178 4.7178 90.00 90.00 90.00
With the nearest neighbours (Å) after each atom.
Positions (direct):
Pt1 0.0000 0.5000 0.0000  2 Se 2.36
Pt2 0.0000 0.0000 0.5000  2 Se 2.36
Pt3 0.5000 0.0000 0.0000  2 Se 2.36
Se1 0.0000 0.0000 0.0000  6 Pt 2.36
Li1 0.5000 0.5000 0.5000  12 Pt 3.34

polymorph energy (0 for the lowest one)	0.00	eV per formula unit
E_form (uncorrected)	135	kJ/mol of formula units
E	-0.1626	hartree per atom

***

First-principles (PBE) data for a relaxed LiPtSe crystal, as listed in the Alexandria database.

Lattice parameters (Å, degrees): 6.0286 6.0286 2.9499 75.84 75.84 28.32
With the nearest neighbours (Å) after each atom.
Positions (direct):
Se1 0.6748 0.6748 0.3252  4 Pt 2.76, 4 Li 2.95, 4 Se 2.95
Li1 0.9909 0.9909 0.0091  4 Pt 2.74, 4 Se 2.95, 4 Li 2.95
Pt1 0.3343 0.3343 0.6657  4 Li 2.74, 4 Se 2.76, 4 Pt 2.95

polymorph energy (0 for the lowest one)	0.90	eV per formula unit
E_form (uncorrected)	-57	kJ/mol of formula units
E	-0.1473	hartree per atom

***

First-principles (PBE) data for a relaxed LiPt2Se crystal, as listed in the Alexandria database.

Lattice parameters (Å, degrees): 4.9663 4.9663 4.9663 134.36 134.36 66.53
With the nearest neighbours (Å) after each atom.
Positions (direct):
Pt1 0.2500 0.7500 0.5000  4 Li 2.72, 4 Pt 2.83, 4 Se 2.83
Pt2 0.0000 0.0000 0.0000  4 Se 2.72, 4 Li 2.83, 4 Pt 2.83
Li1 0.7500 0.2500 0.5000  8 Pt 2.72-2.83, 4 Se 2.83
Se1 0.5000 0.5000 0.0000  8 Pt 2.72-2.83, 4 Li 2.83

E_form (uncorrected)	-102	kJ/mol of formula units
E	-0.1703	hartree per atom

***

First-principles (PBE) data for a relaxed LiPt2Se crystal, as listed in the Alexandria database.

Lattice parameters (Å, degrees): 5.2112 5.2112 5.2112 140.20 134.64 61.91
With the nearest neighbours (Å) after each atom.
Positions (direct):
Se1 0.7500 0.2500 0.5000  4 Pt 2.63, 4 Li 2.68
Pt1 0.5328 0.5328 0.0000  2 Se 2.63, 4 Pt 2.74, 2 Li 2.79
Pt2 0.9672 0.9672 0.0000  2 Se 2.63, 4 Pt 2.74, 2 Li 2.79
Li1 0.2500 0.7500 0.5000  4 Se 2.68, 4 Pt 2.79

E_form (uncorrected)	-115	kJ/mol of formula units
E	-0.1715	hartree per atom

***

First-principles (PBE) data for a relaxed LiPt2Se crystal, as listed in the Alexandria database.

Lattice parameters (Å, degrees): 9.0594 9.0594 9.0594 18.08 18.08 18.08
With the nearest neighbours (Å) after each atom.
Positions (direct):
Pt1 0.4975 0.4975 0.4975  3 Li 2.71, 3 Se 2.82, 6 Pt 2.85
Pt2 0.0025 0.0025 0.0025  3 Li 2.71, 3 Se 2.82, 6 Pt 2.85
Li1 0.7500 0.7500 0.7500  6 Pt 2.71, 6 Li 2.85
Se1 0.2500 0.2500 0.2500  6 Pt 2.82, 6 Se 2.85

E_form (uncorrected)	-48	kJ/mol of formula units
E	-0.1652	hartree per atom

***

First-principles (PBE) data for a relaxed LiPt2Se3 crystal, as listed in the Alexandria database.

Lattice parameters (Å, degrees): 5.2703 7.5188 7.5188 120.00 90.00 90.00
With the nearest neighbours (Å) after each atom.
Positions (direct):
Se1 0.2350 0.8282 0.6565  3 Pt 2.47-2.56
Se2 0.7650 0.6565 0.8282  3 Pt 2.47-2.56
Se3 0.2350 0.8282 0.1718  3 Pt 2.47-2.56
Se4 0.7650 0.1718 0.3435  3 Pt 2.47-2.56
Se5 0.2350 0.3435 0.1718  3 Pt 2.47-2.56
Se6 0.7650 0.1718 0.8282  3 Pt 2.47-2.56
Pt1 0.0000 0.5000 0.0000  4 Se 2.47, 2 Li 2.75
Pt2 0.0000 0.0000 0.0000  6 Se 2.56
Pt3 0.0000 0.5000 0.5000  4 Se 2.47, 2 Li 2.75
Pt4 0.0000 0.0000 0.5000  4 Se 2.47, 2 Li 2.75
Li1 0.3196 0.3333 0.6667  3 Pt 2.75
Li2 0.6804 0.6667 0.3333  3 Pt 2.75

E_form (uncorrected)	-329	kJ/mol of formula units
E	-0.1706	hartree per atom

***

The following ρ values (in g/cm3) correspond, in order, to the records above: 12.064; 11.313; 4.083; 10.378; 8.866; 7.646; 9.725; 7.957; 8.778; 11.751; 12.229; 12.573; 12.066; 8.961; 10.613; 9.480; 12.828; 12.406; 12.641; 8.160.